1.
Material: ZnHgBr2
Method: DFT, PBE
State: optimized geometry

Computed properties:
* DOS at the Fermi energy: 0.00 states/eV per cell
* excess energy over the best structure of this formula in the dataset: 0.028 eV per atom
* E_tot: -1.830 eV/atom
* formation energy without anion corrections: -0.599 eV/atom

Cell lengths 6.5234, 6.7467, 7.8739 Å; angles 81.84, 81.92, 64.95 degrees
Sites, in units of the cell vectors:
Zn: 0.0000 0.0000 0.0000
Zn: 0.4274 0.0417 0.7719
Hg: 0.7243 0.0051 0.2616
Hg: 0.7276 0.5048 0.3595
Br: 0.1182 0.3118 0.9463
Br: 0.3235 0.1066 0.4784
Br: 0.3891 0.7156 0.9369
Br: 0.8100 0.0241 0.7366


2.
Material: Na2TmGeTe4
Method: DFT, PBE
State: optimized geometry

Computed properties:
* DOS at the Fermi energy: 3.21 states/eV per cell
* E_tot: -3.833 eV/atom
* formation energy without anion corrections: -0.796 eV/atom

Cell lengths 7.6510, 4.1590, 7.9873 Å; angles 90.00, 107.02, 90.00 degrees
Sites, in units of the cell vectors:
Na: 0.0000 0.0000 0.0000
Na: 0.5000 0.5000 0.0000
Tm: 0.0000 0.5000 0.5000
Ge: 0.5000 0.0000 0.5000
Te: 0.2472 0.0000 0.7263
Te: 0.2661 0.5000 0.2802
Te: 0.7339 0.5000 0.7198
Te: 0.7528 0.0000 0.2737


3.
Material: Ba2NaNiP
Method: DFT, PBE
State: optimized geometry

Computed properties:
* DOS at the Fermi energy: 2.70 states/eV per cell
* E_tot: -3.627 eV/atom
* energy relative to the elements: -0.356 eV/atom

Cell lengths 6.3726, 6.3726, 4.2448 Å; angles 90.00, 90.00, 90.00 degrees
Sites, in units of the cell vectors:
Ba: 0.0000 0.5000 0.0000
Ba: 0.5000 0.0000 0.0000
Na: 0.0000 0.0000 0.5000
Ni: 0.5000 0.5000 0.5000
P: 0.5000 0.5000 0.0000


4.
Material: NaGeP2Se8
Method: DFT, PBE
State: optimized geometry

Computed properties:
* DOS at the Fermi energy: 8.25 states/eV per cell
* E_tot: -3.813 eV/atom
* formation energy without anion corrections: -0.093 eV/atom

Cell lengths 6.3480, 6.3480, 9.1148 Å; angles 90.00, 90.00, 120.00 degrees
Sites, in units of the cell vectors:
Na: 0.0000 0.0000 0.0000
Ge: 0.0000 0.0000 0.5000
P: 0.3333 0.6667 0.7435
P: 0.6667 0.3333 0.2565
Se: 0.0005 0.6946 0.3089
Se: 0.3054 0.3060 0.3089
Se: 0.3060 0.0005 0.6911
Se: 0.3333 0.6667 0.9849
Se: 0.6667 0.3333 0.0151
Se: 0.6940 0.9995 0.3089
Se: 0.6946 0.6940 0.6911
Se: 0.9995 0.3054 0.6911


5.
Material: ZrSc2InH
Method: DFT, PBE
State: optimized geometry

Computed properties:
* DOS at the Fermi energy: 5.47 states/eV per cell
* E_tot: -5.845 eV/atom

Cell lengths 4.5152, 4.5152, 4.4311 Å; angles 90.00, 90.00, 90.00 degrees
Sites, in units of the cell vectors:
Zr: 0.0000 0.0000 0.0000
Sc: 0.0000 0.5000 0.5000
Sc: 0.5000 0.0000 0.5000
In: 0.5000 0.5000 0.0000
H: 0.0000 0.0000 0.5000


6.
Material: YTcGe2
Method: DFT, PBE
State: optimized geometry

Computed properties:
* DOS at the Fermi energy: 4.52 states/eV per cell
* excess energy over the best structure of this formula in the dataset: 0.000 eV per atom
* E_tot: -7.031 eV/atom
* energy relative to the elements: -0.515 eV/atom

Cell lengths 6.0734, 6.0734, 5.7464 Å; angles 105.82, 105.82, 118.18 degrees
Sites, in units of the cell vectors:
Y: 0.1338 0.8662 0.7500
Y: 0.8662 0.1338 0.2500
Tc: 0.4652 0.5348 0.7500
Tc: 0.5348 0.4652 0.2500
Ge: 0.1155 0.3923 0.9123
Ge: 0.3923 0.1155 0.4123
Ge: 0.6077 0.8845 0.5877
Ge: 0.8845 0.6077 0.0877